VASP calculation (GGA-PBE) on crystalline TbPr3Th2 at its relaxed geometry.

Properties
Crystal system: orthorhombic
Total magnetization in μB per cell: 0.00
Space-group type: Cmmm
Density of states at the Fermi level in states/eV per cell: 8.60
ΔH_f (0 K) in eV/atom: 0.07
Mass density in g/cm3: 8.5
Calculated volume in Å³/f.u.: 205

Structure (POSCAR):
```
TbPr3Th2
1.0
-3.4024 0.5520 -3.8049
-1.8974 -4.7215 1.0117
-3.3178 2.7983 6.8365
Th Tb Pr
2 1 3
direct
0.1682 0.5000 0.3364
0.8318 0.5000 0.6636
0.0000 0.0000 0.0000
0.6688 0.0000 0.3376
0.3312 0.0000 0.6624
0.5000 0.5000 0.0000
```